[1]
# Nd2HoTmTe5, optimized geometry, DFT GGA-PBE
# * raw formation energy: -0.81 eV per atom
# * Fermi-level density of states: 5.558 states/eV/f.u.
data_Nd2HoTmTe5
_chemical_formula_sum 'Nd2 Ho1 Tm1 Te5'
_space_group_name_H-M_alt 'P 1'
_space_group_IT_number 1
_cell_length_a 5.4890
_cell_length_b 5.4890
_cell_length_c 11.4995
_cell_angle_alpha 90.00
_cell_angle_beta 90.00
_cell_angle_gamma 90.00
loop_
_space_group_symop_operation_xyz
'x,y,z'
loop_
_atom_site_label
_atom_site_fract_x
_atom_site_fract_y
_atom_site_fract_z
Nd1 0.5000 0.5000 0.3347
Nd2 0.5000 0.5000 0.6653
Ho1 0.0000 0.0000 0.0000
Tm1 0.0000 0.0000 0.5000
Te1 0.0000 0.5000 0.5000
Te2 0.5000 0.0000 0.5000
Te3 0.0000 0.0000 0.7540
Te4 0.0000 0.0000 0.2460
Te5 0.5000 0.5000 0.0000


[2]
# NdHo3Tm2Te6, optimized geometry, DFT GGA-PBE
# * raw formation energy: -1.25 eV per atom
# * Fermi-level density of states: 6.578 states/eV/f.u.
data_NdHo3Tm2Te6
_chemical_formula_sum 'Nd1 Ho3 Tm2 Te6'
_space_group_name_H-M_alt 'P 1'
_space_group_IT_number 1
_cell_length_a 4.3055
_cell_length_b 8.7902
_cell_length_c 9.6867
_cell_angle_alpha 101.36
_cell_angle_beta 102.84
_cell_angle_gamma 90.00
loop_
_space_group_symop_operation_xyz
'x,y,z'
loop_
_atom_site_label
_atom_site_fract_x
_atom_site_fract_y
_atom_site_fract_z
Nd1 0.5000 0.0000 0.0000
Ho1 0.5000 0.5000 0.0000
Ho2 0.8420 0.1625 0.6840
Ho3 0.1580 0.8375 0.3160
Tm1 0.8366 0.6664 0.6732
Tm2 0.1634 0.3336 0.3268
Te1 0.3261 0.9067 0.6522
Te2 0.6690 0.5865 0.3380
Te3 0.6739 0.0933 0.3478
Te4 0.0034 0.2610 0.0067
Te5 0.9966 0.7390 0.9933
Te6 0.3310 0.4135 0.6620


[3]
# NdY2Ho3Te6, optimized geometry, DFT GGA-PBE
# * raw formation energy: -1.30 eV per atom
# * Fermi-level density of states: 6.657 states/eV/f.u.
data_NdY2Ho3Te6
_chemical_formula_sum 'Nd1 Y2 Ho3 Te6'
_space_group_name_H-M_alt 'P 1'
_space_group_IT_number 1
_cell_length_a 4.3466
_cell_length_b 8.8042
_cell_length_c 9.7899
_cell_angle_alpha 103.20
_cell_angle_beta 102.83
_cell_angle_gamma 90.00
loop_
_space_group_symop_operation_xyz
'x,y,z'
loop_
_atom_site_label
_atom_site_fract_x
_atom_site_fract_y
_atom_site_fract_z
Nd1 0.5000 0.0000 0.0000
Y1 0.8360 0.6714 0.6720
Y2 0.1640 0.3286 0.3280
Ho1 0.5000 0.5000 0.0000
Ho2 0.8377 0.1674 0.6755
Ho3 0.1623 0.8326 0.3245
Te1 0.3281 0.9166 0.6562
Te2 0.6674 0.5844 0.3347
Te3 0.6719 0.0834 0.3438
Te4 0.0003 0.2596 0.0007
Te5 0.9997 0.7404 0.9993
Te6 0.3326 0.4156 0.6653